# 1
VASP calculation (PBE) on a geometry-optimized Sr2Li2Ga3 structure.

As for the crystal system: monoclinic. The value obtained for the calculated volume is 25.76 Å³/atom. For the size of the total moment, the calculation gives 0.000 Bohr magnetons per cell. The total energy comes out at -2.62 eV/atom.

The space group is C2/m (No. 12) and the conventional cell measures 11.4201, 4.7110 and 7.0241 Å, with angles of 90.00, 107.40 and 90.00 degrees. Symmetry generates all atoms from Sr at (0.1708, 0.0000, 0.2276), Li at (0.0945, 0.0000, 0.6966), Ga at (0.0000, 0.5000, 0.5000) and Ga at (0.0681, 0.5000, 0.8832).

# 2
VASP calculation (PBE) on a geometry-optimized NaFeN2 structure.

As for the crystal system: tetragonal. The value obtained for the calculated volume is 12.93 Å³/atom. For the size of the total moment, the calculation gives 0.000 Bohr magnetons per cell. The total energy comes out at -6.63 eV/atom. For the formation energy without anion corrections, the calculation gives -24 meV per atom. The offset from the most stable computed form comes out at 0.0 kJ per mole of atoms.

The space group is I-42d (No. 122) and the conventional cell measures 5.0710, 5.0710 and 8.0426 Å, with angles of 90.00, 90.00 and 90.00 degrees. Symmetry generates all atoms from Na at (0.0000, 0.0000, 0.0000), Fe at (0.0000, 0.0000, 0.5000) and N at (0.1319, 0.2500, 0.6250).